Entry 1:
The following is a PBE-GGA calculation of a geometry-optimized ZrCo2Rh structure, from the Alexandria database.

a = 4.3530 Å, b = 4.3530 Å, c = 4.3530 Å
α = 60.00°, β = 60.00°, γ = 60.00°
Each line ends with the local moment (μB).
Fractional positions:
Co1 0.0000 0.0000 0.0000  1.08
Co2 0.7500 0.7500 0.7500  1.73
Rh1 0.5000 0.5000 0.5000  0.21
Zr1 0.2500 0.2500 0.2500  -0.12

=====

Entry 2:
The following is a PBE-GGA calculation of a geometry-optimized NbCd2PdAu structure, from the Alexandria database.

a = 5.4331 Å, b = 4.7945 Å, c = 5.4331 Å
α = 90.00°, β = 90.00°, γ = 90.00°
Each line ends with the local moment (μB).
Fractional positions:
Nb1 0.0000 0.0000 0.0000  1.04
Au1 0.5000 0.5000 0.5000  -0.01
Pd1 0.0000 0.5000 0.0000  0.07
Cd1 0.0000 0.0000 0.5000  0.02
Cd2 0.5000 0.0000 0.0000  0.02

=====

Entry 3:
The following is a PBE-GGA calculation of a geometry-optimized EuMgCdGa structure, from the Alexandria database.

a = 5.1138 Å, b = 5.1138 Å, c = 5.1138 Å
α = 60.00°, β = 60.00°, γ = 60.00°
Each line ends with the local moment (μB).
Fractional positions:
Eu1 0.5000 0.5000 0.5000  6.78
Mg1 0.0000 0.0000 0.0000  -0.01
Ga1 0.2500 0.2500 0.2500  -0.01
Cd1 0.7500 0.7500 0.7500  0.01

=====

These records have ΔE_f values of -0.1310 1.1630 -0.3302 eV/atom, in the order they appear.
These records have ρ values of 8.9 7.3 6.3 Mg/m³, in the order they appear.